1.
This record from Alexandria describes a PBEsol-optimized structure of LaOsN3. The functional is meta-GGA SCAN.

Cell: 3.5711 5.6468 6.7173 Å, 90.00 90.00 90.00°
Atoms (fractional coordinates):
N 0.5000 0.5000 0.0000
N 0.5000 0.5076 0.5943
N 0.5000 0.0076 0.4057
N 0.5000 0.4924 0.4057
N 0.5000 0.0000 0.0000
N 0.5000 0.9924 0.5943
La 0.0000 0.7500 0.2080
La 0.0000 0.2500 0.7920
Os 0.5000 0.7500 0.8048
Os 0.5000 0.2500 0.1952

Calculated values
As for the energy: -145.32 eV per formula unit.

***

2.
This record from Alexandria describes a PBEsol-optimized structure of LaOsN3. The functional is meta-GGA SCAN.

Cell: 3.8056 4.6662 7.3227 Å, 90.00 97.47 90.00°
Atoms (fractional coordinates):
N 0.2971 0.7500 0.4643
N 0.5430 0.7500 0.3676
N 0.4570 0.2500 0.6324
N 0.7029 0.2500 0.5357
N 0.9833 0.2500 0.9081
N 0.0167 0.7500 0.0919
Os 0.5182 0.7500 0.0930
Os 0.4818 0.2500 0.9070
La 0.0843 0.2500 0.2925
La 0.9157 0.7500 0.7075

Calculated values
As for the energy: -145.32 eV per formula unit.

***

3.
This record from Alexandria describes a PBEsol-optimized structure of LaOsPb2N. The functional is meta-GGA SCAN.

Cell: 3.6901 5.6771 5.6771 Å, 90.00 90.00 90.00°
Atoms (fractional coordinates):
Pb 0.0000 0.5000 0.0000
Pb 0.0000 0.0000 0.5000
La 0.5000 0.5000 0.5000
N 0.5000 0.0000 0.0000
Os 0.0000 0.0000 0.0000

Calculated values
As for the energy: -275.33 eV per formula unit.

***

4.
This record from Alexandria describes a PBEsol-optimized structure of La2PN. The functional is meta-GGA SCAN.

Cell: 6.2642 6.2642 6.2642 Å, 102.28 113.18 113.18°
Atoms (fractional coordinates):
La 0.5596 0.3750 0.4346
La 0.4404 0.8750 0.8154
La 0.0596 0.1846 0.6250
La 0.9404 0.5654 0.1250
N 0.5000 0.2500 0.7500
N 0.0000 0.5000 0.5000
P 0.5000 0.7500 0.2500
P 0.0000 0.0000 0.0000

Calculated values
As for the energy: -112.06 eV per formula unit.

***

5.
This record from Alexandria describes a PBEsol-optimized structure of LaPS2N. The functional is meta-GGA SCAN.

Cell: 3.6008 4.7241 4.7241 Å, 90.00 90.00 90.00°
Atoms (fractional coordinates):
P 0.0000 0.0000 0.0000
S 0.0000 0.5000 0.0000
S 0.0000 0.0000 0.5000
N 0.5000 0.0000 0.0000
La 0.5000 0.5000 0.5000

Calculated values
As for the energy: -85.50 eV per formula unit. Its energy above the most stable polymorph in this dataset is 0 meV/atom.

***

6.
This record from Alexandria describes a PBEsol-optimized structure of LaPS2N. The functional is meta-GGA SCAN.

Cell: 4.0694 5.4939 5.4939 Å, 90.00 90.00 90.00°
Last column: magnetic moment on the atom in μB.
Atoms (fractional coordinates):
S 0.0000 0.0000 0.5000  -0.39
S 0.0000 0.5000 0.0000  -0.39
La 0.0000 0.0000 0.0000  -0.03
N 0.5000 0.0000 0.0000  -0.25
P 0.5000 0.5000 0.5000  0.76

Calculated values
As for the energy: -78.24 eV per formula unit. Its energy above the most stable polymorph in this dataset is 1452 meV/atom.

***

7.
This record from Alexandria describes a PBEsol-optimized structure of LaTe2PN. The functional is meta-GGA SCAN.

Cell: 3.3714 5.7869 5.7869 Å, 90.00 90.00 90.00°
Atoms (fractional coordinates):
Te 0.0000 0.0000 0.5000
Te 0.0000 0.5000 0.0000
N 0.5000 0.0000 0.0000
La 0.5000 0.5000 0.5000
P 0.0000 0.0000 0.0000

Calculated values
As for the energy: -138.36 eV per formula unit. Its energy above the most stable polymorph in this dataset is 0 meV/atom.

***

8.
This record from Alexandria describes a PBEsol-optimized structure of LaTe2PN. The functional is meta-GGA SCAN.

Cell: 4.0091 6.1672 6.1672 Å, 90.00 90.00 90.00°
Last column: magnetic moment on the atom in μB.
Atoms (fractional coordinates):
Te 0.0000 0.5000 0.0000  0.35
Te 0.0000 0.0000 0.5000  0.35
N 0.5000 0.0000 0.0000  0.06
P 0.5000 0.5000 0.5000  -0.69
La 0.0000 0.0000 0.0000  0.00

Calculated values
As for the energy: -133.86 eV per formula unit. Its energy above the most stable polymorph in this dataset is 900 meV/atom.

***

9.
This record from Alexandria describes a PBEsol-optimized structure of LaTePb2N. The functional is meta-GGA SCAN.

Cell: 5.8779 5.8779 5.9439 Å, 90.00 90.00 90.00°
Last column: magnetic moment on the atom in μB.
Atoms (fractional coordinates):
N 0.5000 0.5000 0.5000  1.74
Pb 0.0000 0.5000 0.0000  0.00
Pb 0.5000 0.0000 0.0000  0.00
La 0.0000 0.0000 0.5000  0.02
Te 0.0000 0.0000 0.0000  -0.01

Calculated values
As for the energy: -236.18 eV per formula unit.

***

10.
This record from Alexandria describes a PBEsol-optimized structure of LaTe2PdN. The functional is meta-GGA SCAN.

Cell: 3.9353 6.1914 6.1914 Å, 90.00 90.00 90.00°
Atoms (fractional coordinates):
La 0.0000 0.0000 0.0000
N 0.5000 0.0000 0.0000
Te 0.0000 0.5000 0.0000
Te 0.0000 0.0000 0.5000
Pd 0.5000 0.5000 0.5000

Calculated values
As for the energy: -157.11 eV per formula unit.

***

11.
This record from Alexandria describes a PBEsol-optimized structure of LaPt3N. The functional is meta-GGA SCAN.

Cell: 5.1763 5.1763 5.1763 Å, 90.00 90.00 90.00°
Last column: magnetic moment on the atom in μB.
Atoms (fractional coordinates):
Pt 0.0000 0.5000 0.0000  -0.16
Pt 0.5000 0.0000 0.0000  -0.16
Pt 0.0000 0.0000 0.5000  -0.16
N 0.5000 0.5000 0.5000  1.84
La 0.0000 0.0000 0.0000  -0.11

Calculated values
As for the energy: -252.45 eV per formula unit.

***

12.
This record from Alexandria describes a PBEsol-optimized structure of LaPtS2N. The functional is meta-GGA SCAN.

Cell: 4.0194 5.4231 5.4231 Å, 90.00 90.00 90.00°
Last column: magnetic moment on the atom in μB.
Atoms (fractional coordinates):
S 0.0000 0.0000 0.5000  0.48
S 0.0000 0.5000 0.0000  0.48
Pt 0.5000 0.5000 0.5000  1.06
N 0.5000 0.0000 0.0000  0.18
La 0.0000 0.0000 0.0000  0.01

Calculated values
As for the energy: -137.14 eV per formula unit. Its energy above the most stable polymorph in this dataset is 1700 meV/atom.

***

| no. | formation energy from raw total energies (kJ/mol of formula units) |
| --- | --- |
| 1 | -238 |
| 2 | -238 |
| 3 | 49 |
| 4 | -594 |
| 5 | -333 |
| 6 | 367 |
| 7 | -103 |
| 8 | 332 |
| 9 | 486 |
| 10 | 247 |
| 11 | 1015 |
| 12 | 454 |